A plane-wave DFT calculation with PBE-GGA was carried out for U2NbV after structural relaxation.

Energy of formation from the pure elements, eV/atom: 0.409
Magnetic moment, μB per cell: 0.00

a = 3.6690 Å, b = 3.6690 Å, c = 5.8423 Å
α = 90.00°, β = 90.00°, γ = 90.00°
Last column: nearest neighbours and their distance in Å.
Space group P4/mmm (No. 123)
Asymmetric unit:
U1 0.0000 0.0000 0.2134  1 U 2.49
Nb1 0.5000 0.5000 0.5000  2 V 2.92, 8 U 3.09
V1 0.5000 0.5000 0.0000  8 U 2.88, 2 Nb 2.92